# 1
VASP calculation (GGA-PBEsol) on an optimized crystal structure of InTePb2.

a = 5.430 Å, b = 5.430 Å, c = 5.430 Å
α = 60.00°, β = 60.00°, γ = 60.00°
Element x y z (fractional)
In1 0.000 0.000 0.000
Pb1 0.250 0.250 0.250
Pb2 0.750 0.750 0.750
Te1 0.500 0.500 0.500

space-group type: Fm-3m (225)
distance to the lowest polymorph of the same formula: 58 meV/atom
volume: 113.2 Å³/f.u.
formation energy from raw total energies: 0.047 eV/f.u.
E_tot: -3.615 eV per atom


# 2
VASP calculation (GGA-PBEsol) on an optimized crystal structure of Li2SiBSbO7.

a = 5.107 Å, b = 6.403 Å, c = 9.057 Å
α = 90.00°, β = 93.88°, γ = 90.00°
Element x y z (fractional)
Li1 0.244 0.484 0.827
Li2 0.244 0.016 0.827
Li3 0.756 0.516 0.173
Li4 0.756 0.984 0.173
Si1 0.726 0.750 0.571
Si2 0.274 0.250 0.429
B1 0.742 0.250 0.937
B2 0.258 0.750 0.063
Sb1 0.791 0.250 0.662
Sb2 0.209 0.750 0.338
O1 0.290 0.750 0.919
O2 0.983 0.250 0.867
O3 0.531 0.250 0.822
O4 0.815 0.946 0.676
O5 0.815 0.554 0.676
O6 0.145 0.250 0.589
O7 0.407 0.750 0.531
O8 0.593 0.250 0.469
O9 0.855 0.750 0.411
O10 0.185 0.446 0.324
O11 0.185 0.054 0.324
O12 0.469 0.750 0.178
O13 0.017 0.750 0.133
O14 0.710 0.250 0.081

space-group type: P2_1/m (11)
volume: 147.7 Å³/f.u.
formation energy from raw total energies: -25.603 eV/f.u.
E_tot: -6.967 eV per atom


# 3
VASP calculation (GGA-PBEsol) on an optimized crystal structure of Pr2In3Cu.

a = 4.746 Å, b = 4.746 Å, c = 7.652 Å
α = 90.00°, β = 90.00°, γ = 120.00°
Element x y z (fractional)
Pr1 0.333 0.667 0.274
Pr2 0.333 0.667 0.738
In1 0.000 0.000 0.516
In2 0.000 0.000 0.954
In3 0.667 0.333 0.060
Cu1 0.667 0.333 0.458

space-group type: P3m1 (156)
volume: 149.2 Å³/f.u.
E_tot: -4.403 eV per atom


# 4
VASP calculation (GGA-PBEsol) on an optimized crystal structure of KBaScSn2.

a = 5.617 Å, b = 5.756 Å, c = 5.756 Å
α = 90.00°, β = 90.00°, γ = 90.00°
Element x y z (fractional)
Sc1 0.500 0.500 0.500
K1 0.000 0.000 0.000
Ba1 0.500 0.000 0.000
Sn1 0.000 0.000 0.500
Sn2 0.000 0.500 0.000

space-group type: P4/mmm (123)
volume: 186.1 Å³/f.u.
E_tot: -2.855 eV per atom